[1]
{
  "formula": "CaNdSm2",
  "functional": "GGA-PBE",
  "state": "optimized geometry",
  "lattice_angstrom": [[5.1864, 0.0000, 0.0000], [0.0000, 5.1864, 0.0000], [0.0000, 0.0000, 5.2416]],
  "species": ["Ca", "Nd", "Sm", "Sm"],
  "fractional_positions": [[0.0000, 0.0000, 0.0000], [0.5000, 0.5000, 0.0000], [0.0000, 0.5000, 0.5000], [0.5000, 0.0000, 0.5000]],
  "e_above_lowest_polymorph_mev_per_atom": 45,
  "sg": "P4/mmm, No. 123",
  "vol_a3_per_atom": 35.25,
  "magnetic_moment_mub_per_fu": 0.00,
  "rho_g_cm3": 5.7
}

[2]
{
  "formula": "Ca2NdSm2",
  "functional": "GGA-PBE",
  "state": "optimized geometry",
  "lattice_angstrom": [[3.2134, -1.8552, 0.0000], [3.2134, 1.8552, 0.0000], [-2.1695, 0.0000, 15.4984]],
  "species": ["Ca", "Ca", "Nd", "Sm", "Sm"],
  "fractional_positions": [[0.2004, 0.2004, 0.1068], [0.7996, 0.7996, 0.8932], [0.0000, 0.0000, 0.5000], [0.3967, 0.3967, 0.6882], [0.6033, 0.6033, 0.3118]],
  "e_above_lowest_polymorph_mev_per_atom": 0,
  "sg": "C2/m, No. 12",
  "vol_a3_per_atom": 36.96,
  "magnetic_moment_mub_per_fu": 0.00,
  "rho_g_cm3": 4.7
}

[3]
{
  "formula": "Ca2Nd6Sm",
  "functional": "GGA-PBE",
  "state": "optimized geometry",
  "lattice_angstrom": [[9.6509, -1.8509, 0.0000], [9.6509, 1.8509, 0.0000], [-0.0360, 0.0000, 9.1303]],
  "species": ["Ca", "Ca", "Nd", "Nd", "Nd", "Nd", "Nd", "Nd", "Sm"],
  "fractional_positions": [[0.0563, 0.0563, 0.1657], [0.9437, 0.9437, 0.8343], [0.1665, 0.1665, 0.5020], [0.2739, 0.2739, 0.8367], [0.3842, 0.3842, 0.1798], [0.6158, 0.6158, 0.8202], [0.7261, 0.7261, 0.1633], [0.8335, 0.8335, 0.4980], [0.5000, 0.5000, 0.5000]],
  "sg": "C2/m, No. 12",
  "vol_a3_per_atom": 36.24,
  "magnetic_moment_mub_per_fu": 0.00,
  "rho_g_cm3": 5.6
}

[4]
{
  "formula": "CaNdSm3",
  "functional": "GGA-PBE",
  "state": "optimized geometry",
  "lattice_angstrom": [[3.0823, 1.7796, 11.9425], [-3.0823, 1.7796, 11.9425], [0.0000, -3.5591, 11.9425]],
  "species": ["Ca", "Ca", "Nd", "Nd", "Sm", "Sm", "Sm", "Sm", "Sm", "Sm"],
  "fractional_positions": [[0.1662, 0.1662, 0.1662], [0.8338, 0.8338, 0.8338], [0.3336, 0.3336, 0.3336], [0.6664, 0.6664, 0.6664], [0.0826, 0.7469, 0.4115], [0.2531, 0.5885, 0.9174], [0.4115, 0.0826, 0.7469], [0.5885, 0.9174, 0.2531], [0.7469, 0.4115, 0.0826], [0.9174, 0.2531, 0.5885]],
  "e_above_lowest_polymorph_mev_per_atom": 183,
  "sg": "R-3, No. 148",
  "vol_a3_per_atom": 39.30,
  "magnetic_moment_mub_per_fu": 0.00,
  "rho_g_cm3": 5.4
}

Quick rundown of energy, same order as above: -0.14557; -0.13222; -0.15100; -0.14040 Ha/atom
Quick rundown of energy of formation, same order as above: 0.0907; 0.0439; 0.0388; 0.3649 eV per atom